Compound: LaNi2Ag
Source: Alexandria
Functional: GGA-PBE
Structure: optimized geometry

Values from the calculation:
Spin magnetization = 0.00 μB per atom
Calculated volume = 78.50 Å³/cell
Space group = R3m (160)
Raw total energy = -4.978 eV per atom
Energy of formation from the pure elements = -0.14 eV/atom

Cell lengths 5.680, 5.680, 5.680 Å; angles 43.41, 43.41, 43.41 degrees
Sites, in units of the cell vectors:
Ag 0.538 0.538 0.538
La 0.735 0.735 0.735
Ni 0.948 0.948 0.948
Ni 0.279 0.279 0.279